1.
PBE RbNaIn3, relaxed; DFT formation energy = 748 meV/atom; final energy = -1.3522 eV per atom; crystal system = cubic
1.0
6.381 0.000 0.000
0.000 6.381 0.000
0.000 0.000 6.381
Rb Na In
1 1 3
direct
0.000 0.000 0.000 Rb
0.500 0.500 0.500 Na
0.000 0.000 0.500 In
0.000 0.500 0.000 In
0.500 0.000 0.000 In

2.
PBE RbNa16In12, relaxed; DFT formation energy = -98 meV/atom; final energy = -1.9920 eV per atom; crystal system = monoclinic
1.0
5.970 -8.402 0.000
5.970 8.402 0.000
-5.726 0.000 8.512
Rb Na In
1 16 12
direct
0.000 0.000 0.000 Rb
0.008 0.703 0.329 Na
0.077 0.425 0.746 Na
0.108 0.815 0.724 Na
0.111 0.428 0.151 Na
0.142 0.729 0.052 Na
0.417 0.831 0.426 Na
0.418 0.418 0.387 Na
0.418 0.418 0.733 Na
0.425 0.077 0.746 Na
0.428 0.111 0.151 Na
0.703 0.008 0.329 Na
0.729 0.142 0.052 Na
0.731 0.731 0.461 Na
0.742 0.742 0.067 Na
0.815 0.108 0.724 Na
0.831 0.417 0.426 Na
0.052 0.052 0.568 In
0.053 0.240 0.384 In
0.230 0.599 0.547 In
0.240 0.053 0.384 In
0.256 0.256 0.927 In
0.419 0.792 0.924 In
0.424 0.612 0.114 In
0.586 0.777 0.724 In
0.599 0.230 0.547 In
0.612 0.424 0.114 In
0.777 0.586 0.724 In
0.792 0.419 0.924 In

3.
PBE RbNa2In2, relaxed; DFT formation energy = 6 meV/atom; final energy = -1.8109 eV per atom; crystal system = tetragonal
1.0
-2.956 2.956 5.456
2.956 -2.956 5.456
2.956 2.956 -5.456
Rb Na In
1 2 2
direct
0.000 0.000 0.000 Rb
0.250 0.750 0.500 Na
0.750 0.250 0.500 Na
0.369 0.369 0.000 In
0.631 0.631 0.000 In

4.
PBE RbNaIn2, relaxed; DFT formation energy = -18 meV/atom; final energy = -1.9585 eV per atom; crystal system = orthorhombic
1.0
8.838 0.000 0.000
0.000 8.451 0.000
0.000 0.000 8.552
Rb Na In
4 4 8
direct
0.019 0.250 0.138 Rb
0.481 0.750 0.638 Rb
0.519 0.250 0.362 Rb
0.981 0.750 0.862 Rb
0.163 0.750 0.317 Na
0.337 0.250 0.817 Na
0.663 0.750 0.183 Na
0.837 0.250 0.683 Na
0.143 0.074 0.542 In
0.143 0.426 0.542 In
0.357 0.574 0.042 In
0.357 0.926 0.042 In
0.643 0.074 0.958 In
0.643 0.426 0.958 In
0.857 0.574 0.458 In
0.857 0.926 0.458 In

5.
PBE RbNaIn, relaxed; DFT formation energy = 34 meV/atom; final energy = -1.6412 eV per atom; crystal system = tetragonal
1.0
-2.124 2.124 6.888
2.124 -2.124 6.888
2.124 2.124 -6.888
Rb Na In
1 1 1
direct
0.000 0.000 0.000 Rb
0.717 0.717 0.000 Na
0.315 0.315 0.000 In

6.
PBE Rb2Na2In, relaxed; DFT formation energy = 57 meV/atom; final energy = -1.4049 eV per atom; crystal system = tetragonal
1.0
8.636 0.000 0.000
0.000 8.636 0.000
0.000 0.000 6.443
Rb Na In
4 4 2
direct
0.185 0.315 0.000 Rb
0.315 0.815 0.000 Rb
0.685 0.185 0.000 Rb
0.815 0.685 0.000 Rb
0.150 0.650 0.500 Na
0.350 0.150 0.500 Na
0.650 0.850 0.500 Na
0.850 0.350 0.500 Na
0.000 0.000 0.500 In
0.500 0.500 0.500 In

7.
PBE Rb12Na6In, relaxed; DFT formation energy = 43 meV/atom; final energy = -1.1284 eV per atom; crystal system = trigonal
1.0
6.956 4.016 7.778
-6.956 4.016 7.778
0.000 -8.032 7.778
Rb Na In
12 6 1
direct
0.130 0.130 0.536 Rb
0.130 0.536 0.130 Rb
0.191 0.540 0.540 Rb
0.460 0.460 0.809 Rb
0.460 0.809 0.460 Rb
0.464 0.870 0.870 Rb
0.536 0.130 0.130 Rb
0.540 0.191 0.540 Rb
0.540 0.540 0.191 Rb
0.809 0.460 0.460 Rb
0.870 0.464 0.870 Rb
0.870 0.870 0.464 Rb
0.087 0.806 0.806 Na
0.194 0.194 0.913 Na
0.194 0.913 0.194 Na
0.806 0.087 0.806 Na
0.806 0.806 0.087 Na
0.913 0.194 0.194 Na
0.000 0.000 0.000 In

8.
PBE Rb2NaIn, relaxed; DFT formation energy = 85 meV/atom; final energy = -1.4132 eV per atom; crystal system = tetragonal
1.0
4.719 0.000 0.000
0.000 4.719 0.000
0.000 0.000 9.091
Rb Na In
2 1 1
direct
0.000 0.000 0.227 Rb
0.000 0.000 0.773 Rb
0.500 0.500 0.500 Na
0.500 0.500 0.000 In

9.
PBE RbNaIn2, relaxed; DFT formation energy = -61 meV/atom; final energy = -2.0024 eV per atom; crystal system = trigonal
1.0
2.658 1.535 6.758
-2.658 1.535 6.758
0.000 -3.070 6.758
Rb Na In
1 1 2
direct
0.000 0.000 0.000 Rb
0.500 0.500 0.500 Na
0.186 0.186 0.186 In
0.814 0.814 0.814 In

10.
PBE RbNa6In8, relaxed; DFT formation energy = -55 meV/atom; final energy = -2.1076 eV per atom; crystal system = trigonal
1.0
4.548 2.626 6.354
-4.548 2.626 6.354
0.000 -5.252 6.354
Rb Na In
1 6 8
direct
0.000 0.000 0.000 Rb
0.150 0.604 0.371 Na
0.371 0.150 0.604 Na
0.396 0.629 0.850 Na
0.604 0.371 0.150 Na
0.629 0.850 0.396 Na
0.850 0.396 0.629 Na
0.124 0.452 0.820 In
0.180 0.876 0.548 In
0.227 0.227 0.227 In
0.452 0.820 0.124 In
0.548 0.180 0.876 In
0.773 0.773 0.773 In
0.820 0.124 0.452 In
0.876 0.548 0.180 In

11.
PBE Rb2Na2In, relaxed; DFT formation energy = 218 meV/atom; final energy = -1.2445 eV per atom; crystal system = tetragonal
1.0
11.111 0.000 0.000
0.000 11.111 0.000
0.000 0.000 4.148
Rb Na In
4 4 2
direct
0.187 0.313 0.000 Rb
0.313 0.813 0.000 Rb
0.687 0.187 0.000 Rb
0.813 0.687 0.000 Rb
0.111 0.611 0.500 Na
0.389 0.111 0.500 Na
0.611 0.889 0.500 Na
0.889 0.389 0.500 Na
0.000 0.000 0.000 In
0.500 0.500 0.000 In

12.
PBE RbNaIn2, relaxed; DFT formation energy = 9 meV/atom; final energy = -1.9322 eV per atom; crystal system = tetragonal
1.0
4.038 0.000 0.000
0.000 4.038 0.000
0.000 0.000 8.715
Rb Na In
1 1 2
direct
0.000 0.000 0.000 Rb
0.000 0.000 0.500 Na
0.500 0.500 0.320 In
0.500 0.500 0.680 In

Number 1: M_tot 0.00 μB per formula unit. Number 2: M_tot 0.00 μB per formula unit. Number 3: M_tot 0.00 μB per formula unit. Number 4: M_tot 0.00 μB per formula unit. Number 5: M_tot 0.00 μB per formula unit. Number 6: M_tot 0.00 μB per formula unit. Number 7: M_tot 0.00 μB per formula unit. Number 8: M_tot 0.00 μB per formula unit. Number 9: M_tot 0.00 μB per formula unit. Number 10: M_tot 0.00 μB per formula unit. Number 11: M_tot 0.00 μB per formula unit. Number 12: M_tot 0.00 μB per formula unit.